GGA-PBEsol Y2ZnP, optimized geometry; E above lowest polymorph = 0 meV per atom; energy of formation = -0.93 eV/atom
1.0
3.879 0.000 0.000
0.000 4.099 0.000
0.000 0.000 10.516
Y Zn P
4 2 2
Direct
0.000 0.000 0.000
0.000 0.500 0.500
0.500 0.000 0.285
0.500 0.500 0.785
0.500 0.000 0.567
0.500 0.500 0.067
0.000 0.000 0.722
0.000 0.500 0.222